Entry 1:
Computed, not measured: a PBEsol-optimized structure of FeTeP2O8 at the meta-GGA SCAN level of DFT.

Energy relative to the elements, uncorrected (eV per atom): -1.91
Symmetry: P-1
ΔE to the lowest computed polymorph (eV per atom): 0.0000
Total DFT energy (no corrections) (eV per atom): -12.4157

a = 4.8793 Å, b = 6.9278 Å, c = 9.7476 Å
α = 88.02°, β = 81.61°, γ = 88.07°
Site moments in Bohr magnetons follow the coordinates.
Atoms (fractional coordinates):
O1 0.7453 0.5735 0.6827  0.04
O2 0.2622 0.2104 0.0719  0.01
O3 0.6734 0.2404 0.8928  0.04
O4 0.2560 0.0469 0.8429  0.01
O5 0.1065 0.2496 0.5520  0.05
O6 0.6835 0.9171 0.6696  0.01
O7 0.3165 0.0829 0.3304  0.01
O8 0.3266 0.7596 0.1072  0.04
O9 0.7378 0.7896 0.9281  0.01
O10 0.7843 0.5987 0.1549  0.05
O11 0.2157 0.4013 0.8451  0.05
O12 0.8135 0.2206 0.3642  0.00
O13 0.8935 0.7504 0.4480  0.05
O14 0.2547 0.4265 0.3173  0.04
O15 0.7440 0.9531 0.1571  0.01
O16 0.1865 0.7794 0.6358  0.00
Fe1 0.9337 0.3188 0.7318  3.62
Fe2 0.0663 0.6812 0.2682  3.62
P1 0.1081 0.2484 0.3974  0.01
P2 0.6423 0.7705 0.0878  0.01
P3 0.8919 0.7516 0.6026  0.01
P4 0.3577 0.2295 0.9122  0.01
Te1 0.4099 0.7765 0.8055  0.00
Te2 0.5901 0.2235 0.1945  0.00



Entry 2:
Computed, not measured: a PBEsol-optimized structure of TlHg2Au at the meta-GGA SCAN level of DFT.

Symmetry: Fm-3m
Energy of formation (eV/atom): 0.0859
ΔE to the lowest computed polymorph (eV per atom): 0.0743
Total DFT energy (no corrections) (eV per atom): -69.3759

a = 5.0312 Å, b = 5.0312 Å, c = 5.0312 Å
α = 60.00°, β = 60.00°, γ = 60.00°
Atoms (fractional coordinates):
Hg1 0.2500 0.2500 0.2500
Hg2 0.7500 0.7500 0.7500
Tl1 0.5000 0.5000 0.5000
Au1 0.0000 0.0000 0.0000



Entry 3:
Computed, not measured: a PBEsol-optimized structure of Nd3Al11 at the meta-GGA SCAN level of DFT.

Symmetry: Immm
Energy of formation (eV/atom): -0.4069
Total DFT energy (no corrections) (eV per atom): -15.8367

a = 4.3433 Å, b = 8.4160 Å, c = 8.4160 Å
α = 72.65°, β = 75.05°, γ = 75.05°
Atoms (fractional coordinates):
Al1 0.8633 0.4116 0.8617
Al2 0.3348 0.2957 0.0346
Al3 0.3348 0.0346 0.2957
Al4 0.5000 0.2874 0.7126
Al5 0.6652 0.7043 0.9654
Al6 0.0000 0.5000 0.5000
Al7 0.5000 0.7126 0.2874
Al8 0.6652 0.9654 0.7043
Al9 0.8633 0.8617 0.4116
Al10 0.1367 0.1383 0.5884
Al11 0.1367 0.5884 0.1383
Nd1 0.0000 0.0000 0.0000
Nd2 0.6832 0.3168 0.3168
Nd3 0.3168 0.6832 0.6832



Entry 4:
Computed, not measured: a PBEsol-optimized structure of Cr2SbCl at the meta-GGA SCAN level of DFT.

Energy relative to the elements, uncorrected (eV per atom): -0.18
Symmetry: Imm2
ΔE to the lowest computed polymorph (eV per atom): 0.0960
Total DFT energy (no corrections) (eV per atom): -20.6816

a = 3.5660 Å, b = 3.3895 Å, c = 7.1628 Å
α = 103.69°, β = 104.41°, γ = 90.00°
Site moments in Bohr magnetons follow the coordinates.
Atoms (fractional coordinates):
Cr1 0.9553 0.9553 0.9105  3.79
Cr2 0.1991 0.6991 0.3981  4.06
Cl1 0.7998 0.2998 0.5997  0.03
Sb1 0.5458 0.5458 0.0917  -0.21



Entry 5:
Computed, not measured: a PBEsol-optimized structure of CdSb2Te2 at the meta-GGA SCAN level of DFT.

Energy relative to the elements, uncorrected (eV per atom): 0.06
Symmetry: I4/mmm
ΔE to the lowest computed polymorph (eV per atom): 0.0000
Total DFT energy (no corrections) (eV per atom): -35.8242

a = 6.0331 Å, b = 6.1300 Å, c = 6.0331 Å
α = 60.52°, β = 90.00°, γ = 119.48°
Atoms (fractional coordinates):
Cd1 0.0000 0.0000 0.0000
Sb1 0.6859 0.3718 0.3141
Sb2 0.3141 0.6282 0.6859
Te1 0.2500 0.5000 0.2500
Te2 0.7500 0.5000 0.7500



Entry 6:
Computed, not measured: a PBEsol-optimized structure of Y5Hg at the meta-GGA SCAN level of DFT.

Symmetry: P6/mmm
Energy of formation (eV/atom): 0.5371
ΔE to the lowest computed polymorph (eV per atom): 0.7623
Total DFT energy (no corrections) (eV per atom): -34.0263

a = 5.6805 Å, b = 6.2324 Å, c = 6.2324 Å
α = 120.00°, β = 90.00°, γ = 90.00°
Site moments in Bohr magnetons follow the coordinates.
Atoms (fractional coordinates):
Y1 0.0000 0.3333 0.6667  0.06
Y2 0.0000 0.6667 0.3333  0.06
Y3 0.5000 0.5000 0.0000  0.17
Y4 0.5000 0.0000 0.5000  0.17
Y5 0.5000 0.5000 0.5000  0.17
Hg1 0.0000 0.0000 0.0000  -0.01



Entry 7:
Computed, not measured: a PBEsol-optimized structure of CrCdFe3 at the meta-GGA SCAN level of DFT.

Symmetry: Pm-3m
Energy of formation (eV/atom): 1.1263
ΔE to the lowest computed polymorph (eV per atom): 0.0000
Total DFT energy (no corrections) (eV per atom): -19.5113

a = 4.1862 Å, b = 4.1862 Å, c = 4.1862 Å
α = 90.00°, β = 90.00°, γ = 90.00°
Site moments in Bohr magnetons follow the coordinates.
Atoms (fractional coordinates):
Fe1 0.5000 0.0000 0.0000  2.22
Fe2 0.0000 0.5000 0.0000  2.22
Fe3 0.0000 0.0000 0.5000  2.22
Cd1 0.5000 0.5000 0.5000  -0.09
Cr1 0.0000 0.0000 0.0000  -1.50



Entry 8:
Computed, not measured: a PBEsol-optimized structure of LiYZr2 at the meta-GGA SCAN level of DFT.

Symmetry: Immm
Energy of formation (eV/atom): 0.1404
Total DFT energy (no corrections) (eV per atom): -22.7671

a = 3.3419 Å, b = 5.0043 Å, c = 6.1319 Å
α = 114.08°, β = 105.81°, γ = 90.00°
Atoms (fractional coordinates):
Zr1 0.7783 0.7783 0.5567
Zr2 0.2217 0.2217 0.4433
Y1 0.0000 0.5000 0.0000
Li1 0.5000 0.0000 0.0000